1.
Here is an optimized crystal structure of CaTm5In3 from Alexandria via LeMat-Bulk. Energies are from GGA-PBE.

## Properties
* energy: -71.40 eV for the cell shown
* SG: P6_3/mcm (193)
* theoretical density: 8.2 Mg/m³

Lattice parameters (Å, degrees): 9.2383 9.2383 6.7135 90.00 90.00 120.00
Atoms (fractional coordinates):
Ca 0.0000 0.0000 0.0000
Ca 0.0000 0.0000 0.5000
Tm 0.0000 0.3352 0.2500
Tm 0.0000 0.6647 0.7500
Tm 0.3333 0.6667 0.0000
Tm 0.3333 0.6667 0.5000
Tm 0.3352 0.0000 0.2500
Tm 0.3352 0.3352 0.7500
Tm 0.6647 0.0000 0.7500
Tm 0.6647 0.6647 0.2500
Tm 0.6667 0.3333 0.0000
Tm 0.6667 0.3333 0.5000
In 0.0000 0.3341 0.7500
In 0.0000 0.6659 0.2500
In 0.3341 0.0000 0.7500
In 0.3341 0.3341 0.2500
In 0.6659 0.0000 0.2500
In 0.6659 0.6659 0.7500


2.
Here is an optimized crystal structure of LaMgTc2 from Alexandria via LeMat-Bulk. Energies are from GGA-PBE.

## Properties
* energy: -26.13 eV for the cell shown
* SG: Cm (8)
* theoretical density: 7.2 Mg/m³

Lattice parameters (Å, degrees): 5.8812 5.8812 4.9632 114.88 114.88 32.70
Atoms (fractional coordinates):
La 0.0000 0.0000 0.0000
Mg 0.2123 0.2123 0.7118
Tc 0.4517 0.4517 0.4519
Tc 0.7732 0.7732 0.2729


3.
Here is an optimized crystal structure of HgB3Mo from Alexandria via LeMat-Bulk. Energies are from GGA-PBE.

## Properties
* relative energy among the computed polymorphs: 0 meV per atom
* SG: Pm-3m (221)
* theoretical density: 7.2 Mg/m³

Lattice parameters (Å, degrees): 4.2408 4.2408 4.2408 90.00 90.00 90.00
Atoms (fractional coordinates):
Hg 0.0000 0.0000 0.0000
B 0.0000 0.5000 0.5000
B 0.5000 0.0000 0.5000
B 0.5000 0.5000 0.0000
Mo 0.5000 0.5000 0.5000


4.
Here is an optimized crystal structure of ScReIr from Alexandria via LeMat-Bulk. Energies are from GGA-PBE.

## Properties
* relative energy among the computed polymorphs: 378 meV per atom
* SG: F-43m (216)
* theoretical density: 12.3 Mg/m³

Lattice parameters (Å, degrees): 4.3269 4.3269 4.3269 60.00 60.00 60.00
Atoms (fractional coordinates):
Sc 0.0000 0.0000 0.0000
Re 0.5000 0.5000 0.5000
Ir 0.7500 0.7500 0.7500


5.
Here is an optimized crystal structure of KLi2Br2 from Alexandria via LeMat-Bulk. Energies are from GGA-PBE.

## Properties
* formation energy (no corrections): -1.147 eV/atom
* SG: I4/mmm (139)
* theoretical density: 1.7 Mg/m³

Lattice parameters (Å, degrees): 11.0102 11.0102 11.0102 156.52 156.52 33.45
Atoms (fractional coordinates):
K 0.0000 0.0000 0.0000
Li 0.2500 0.7500 0.5000
Li 0.7500 0.2500 0.5000
Br 0.3084 0.3084 0.0000
Br 0.6916 0.6916 0.0000


6.
Here is an optimized crystal structure of TeAuSe from Alexandria via LeMat-Bulk. Energies are from GGA-PBE.

## Properties
* formation energy (no corrections): 0.331 eV/atom
* relative energy among the computed polymorphs: 358 meV per atom
* SG: F-43m (216)
* theoretical density: 8.6 Mg/m³

Lattice parameters (Å, degrees): 4.7950 4.7950 4.7950 60.00 60.00 60.00
Atoms (fractional coordinates):
Te 0.0000 0.0000 0.0000
Au 0.2500 0.2500 0.2500
Se 0.5000 0.5000 0.5000


7.
Here is an optimized crystal structure of TcAgCl6 from Alexandria via LeMat-Bulk. Energies are from GGA-PBE.

## Properties
* formation energy (no corrections): -0.542 eV/atom
* relative energy among the computed polymorphs: 0 meV per atom
* SG: P-1 (2)
* theoretical density: 3.6 Mg/m³

Lattice parameters (Å, degrees): 6.2701 6.2746 6.7636 62.43 89.97 60.05
Atoms (fractional coordinates):
Tc 0.0000 0.0000 0.0000
Ag 0.5000 0.0000 0.5000
Cl 0.0635 0.1572 0.2345
Cl 0.2209 0.1707 0.7654
Cl 0.3906 0.5461 0.2340
Cl 0.6094 0.4539 0.7660
Cl 0.7791 0.8293 0.2346
Cl 0.9365 0.8428 0.7655


8.
Here is an optimized crystal structure of TbPmTm from Alexandria via LeMat-Bulk. Energies are from GGA-PBE.

## Properties
* relative energy among the computed polymorphs: 48 meV per atom
* SG: P2_1/m (11)
* theoretical density: 8.2 Mg/m³

Lattice parameters (Å, degrees): 3.5099 5.2904 10.5105 90.00 99.66 90.00
Atoms (fractional coordinates):
Tb 0.1254 0.2500 0.2472
Tb 0.8746 0.7500 0.7528
Pm 0.4535 0.2500 0.9103
Pm 0.5465 0.7500 0.0897
Tm 0.2904 0.2500 0.5830
Tm 0.7096 0.7500 0.4170


9.
Here is an optimized crystal structure of LiHBrCl from Alexandria via LeMat-Bulk. Energies are from GGA-PBE.

## Properties
* relative energy among the computed polymorphs: 15 meV per atom
* SG: R3m (160)
* theoretical density: 2.3 Mg/m³

Lattice parameters (Å, degrees): 6.6652 6.6652 6.6652 35.77 35.77 35.77
Atoms (fractional coordinates):
Li 0.0000 0.0000 0.0000
H 0.4993 0.4993 0.4993
Br 0.6092 0.6092 0.6092
Cl 0.4263 0.4263 0.4263


10.
Here is an optimized crystal structure of CrAsSe2Br from Alexandria via LeMat-Bulk. Energies are from GGA-PBE.

## Properties
* formation energy (no corrections): 0.515 eV/atom
* relative energy among the computed polymorphs: 287 meV per atom
* SG: P4/mmm (123)
* theoretical density: 4.5 Mg/m³

Lattice parameters (Å, degrees): 5.1186 5.1186 5.1360 90.00 90.00 90.00
Atoms (fractional coordinates):
Cr 0.0000 0.0000 0.0000
As 0.5000 0.5000 0.5000
Se 0.0000 0.5000 0.5000
Se 0.5000 0.0000 0.5000
Br 0.5000 0.5000 0.0000


11.
Here is an optimized crystal structure of LiCeHgRh from Alexandria via LeMat-Bulk. Energies are from GGA-PBE.

## Properties
* energy: -16.89 eV for the cell shown
* SG: F-43m (216)
* theoretical density: 9.5 Mg/m³

Lattice parameters (Å, degrees): 4.8090 4.8090 4.8090 60.00 60.00 60.00
Atoms (fractional coordinates):
Li 0.0000 0.0000 0.0000
Ce 0.7500 0.7500 0.7500
Hg 0.2500 0.2500 0.2500
Rh 0.5000 0.5000 0.5000


12.
Here is an optimized crystal structure of ZrZn9Cd2 from Alexandria via LeMat-Bulk. Energies are from GGA-PBE.

## Properties
* energy: -22.16 eV for the cell shown
* SG: R-3m (166)
* theoretical density: 7.6 Mg/m³

Lattice parameters (Å, degrees): 8.8985 8.8985 8.8985 34.21 34.21 34.21
Atoms (fractional coordinates):
Zr 0.0000 0.0000 0.0000
Zn 0.0802 0.5841 0.5841
Zn 0.3327 0.3327 0.3327
Zn 0.4159 0.4159 0.9198
Zn 0.4159 0.9198 0.4159
Zn 0.5000 0.5000 0.5000
Zn 0.5841 0.0802 0.5841
Zn 0.5841 0.5841 0.0802
Zn 0.6673 0.6673 0.6673
Zn 0.9198 0.4159 0.4159
Cd 0.1365 0.1365 0.1365
Cd 0.8635 0.8635 0.8635